[1]
LiYCo2, relaxed, DFT PBE-GGA; crystal system = tetragonal; N(E_F) = 4.15 states/eV/cell; total magnetization = 2.961 μB per formula unit; energy = -5.4526 eV/atom
1.0
3.1090 0.0000 0.0000
0.0000 3.1090 0.0000
0.0000 0.0000 7.1142
Co Li Y
2 1 1
Direct
0.0000 0.0000 0.0697
0.5000 0.5000 0.2044
0.0000 0.0000 0.4296
0.5000 0.5000 0.7964

[2]
HoTmHgGe, relaxed, DFT PBE-GGA; crystal system = cubic; N(E_F) = 3.34 states/eV/cell; total magnetization = 0.000 μB per formula unit; energy = -4.0236 eV/atom
1.0
5.1112 0.0000 0.0000
2.5556 4.4264 0.0000
2.5556 1.4755 4.1733
Ge Tm Hg Ho
1 1 1 1
Direct
0.0000 0.0000 0.0000
0.7500 0.7500 0.7500
0.5000 0.5000 0.5000
0.2500 0.2500 0.2500

[3]
SmPuCd, relaxed, DFT PBE-GGA; crystal system = trigonal; N(E_F) = 8.79 states/eV/cell; total magnetization = 5.904 μB per formula unit; energy = -6.6012 eV/atom
1.0
-2.6070 -1.8834 -0.4043
2.9875 -4.3666 1.0773
-2.5076 2.6109 4.0060
Cd Sm Pu
1 1 1
Direct
0.9948 0.0000 0.0000
0.3082 0.6667 0.3333
0.6969 0.3333 0.6667

[4]
TaAlHg2, relaxed, DFT PBE-GGA; crystal system = orthorhombic; N(E_F) = 1.95 states/eV/cell; total magnetization = 0.000 μB per formula unit; energy = -3.7707 eV/atom
1.0
-2.5437 -1.4738 -0.8862
0.8447 -2.9809 2.5327
-3.3279 2.9726 4.6085
Al Hg Ta
1 2 1
Direct
0.5000 0.5000 0.7175
0.0000 0.0000 0.9903
0.5000 0.5000 0.2660
0.0000 0.0000 0.5261

[5]
Te3PdCl, relaxed, DFT PBE-GGA; crystal system = cubic; N(E_F) = 7.46 states/eV/cell; total magnetization = 0.000 μB per formula unit; formation energy (no corrections) = 967 meV/atom; energy = -2.3256 eV/atom
1.0
-2.4911 3.3969 -3.2597
-4.6279 -2.4439 0.9900
-0.8643 3.2952 4.0944
Te Pd Cl
3 1 1
Direct
0.0000 0.5000 0.0000
0.0000 0.0000 0.5000
0.5000 0.0000 0.0000
0.5000 0.5000 0.5000
0.0000 0.0000 0.0000

[6]
LaAl2Co, relaxed, DFT PBE-GGA; crystal system = cubic; N(E_F) = 2.77 states/eV/cell; total magnetization = 0.318 μB per formula unit; energy = -4.9882 eV/atom
1.0
-2.0236 1.5508 -3.9713
2.5004 -3.1255 -2.5000
-2.6780 -1.4574 3.6021
Co Al La
1 2 1
Direct
0.5000 0.5000 0.0000
0.0000 0.0000 0.0000
0.2500 0.7500 0.5000
0.7500 0.2500 0.5000

[7]
CeGa4Cu2Os, relaxed, DFT PBE-GGA; crystal system = trigonal; N(E_F) = 9.22 states/eV/cell; total magnetization = 0.969 μB per formula unit; energy = -4.8532 eV/atom
1.0
4.2169 0.0000 0.0000
2.1085 3.6520 0.0000
2.1085 1.2173 8.9515
Ce Ga Cu Os
1 4 2 1
Direct
0.0000 0.0000 0.0000
0.4020 0.4020 0.7939
0.8681 0.8681 0.3958
0.1319 0.1319 0.6042
0.5980 0.5980 0.2061
0.7649 0.7649 0.7052
0.2351 0.2351 0.2948
0.5000 0.5000 0.5000

[8]
BaAgP2Cl, relaxed, DFT PBE-GGA; crystal system = tetragonal; N(E_F) = 4.83 states/eV/cell; total magnetization = 0.827 μB per formula unit; formation energy (no corrections) = -278 meV/atom; energy = -3.7659 eV/atom
1.0
4.7538 0.0000 0.0000
0.0000 4.7538 0.0000
0.0000 0.0000 5.9918
P Ba Ag Cl
2 1 1 1
Direct
0.0000 0.5000 0.0000
0.5000 0.0000 0.0000
0.5000 0.5000 0.5000
0.0000 0.0000 0.0000
0.0000 0.0000 0.5000

[9]
NiS4Cl, relaxed, DFT PBE-GGA; crystal system = triclinic; N(E_F) = 4.51 states/eV/cell; total magnetization = 0.000 μB per formula unit; formation energy (no corrections) = -108 meV/atom; energy = -4.1309 eV/atom
1.0
4.3594 -0.6264 -2.0670
-1.8563 3.7258 -5.1961
1.2256 1.1037 14.9225
Ni S Cl
2 8 2
Direct
0.0000 0.5000 0.5000
0.5000 0.0000 0.5000
0.9805 0.9974 0.6152
0.7886 0.5141 0.6297
0.5563 0.8155 0.6958
0.3740 0.2897 0.6918
0.4437 0.1845 0.3042
0.6260 0.7103 0.3082
0.0195 0.0026 0.3849
0.2114 0.4859 0.3703
0.6847 0.1426 0.9326
0.3153 0.8574 0.0674

[10]
YSiTe3, relaxed, DFT PBE-GGA; crystal system = cubic; N(E_F) = 3.59 states/eV/cell; total magnetization = 0.000 μB per formula unit; formation energy (no corrections) = 281 meV/atom; energy = -3.9813 eV/atom
1.0
5.8058 0.0000 0.0000
0.0000 5.8058 0.0000
0.0000 0.0000 5.8058
Y Si Te
1 1 3
Direct
0.0000 0.0000 0.0000
0.5000 0.5000 0.5000
0.0000 0.5000 0.0000
0.0000 0.0000 0.5000
0.5000 0.0000 0.0000

[11]
NaB5H10O13, relaxed, DFT PBE-GGA; crystal system = monoclinic; N(E_F) = 0.00 states/eV/cell; total magnetization = 0.000 μB per formula unit; energy = -6.3031 eV/atom
1.0
-4.4998 7.1091 5.2388
0.5381 -8.4765 5.1081
9.2834 2.9225 9.3422
Na B H O
4 20 40 52
Direct
0.8442 0.1558 0.7500
0.1558 0.8442 0.2500
0.3758 0.6242 0.7500
0.6242 0.3758 0.2500
0.8288 0.6617 0.8200
0.3383 0.1712 0.6800
0.1712 0.3383 0.1800
0.6617 0.8288 0.3200
0.9795 0.6656 0.9491
0.3344 0.0205 0.5509
0.0205 0.3344 0.0509
0.6656 0.9795 0.4491
0.7066 0.5676 0.0179
0.4324 0.2934 0.4821
0.2934 0.4324 0.9821
0.5676 0.7066 0.5179
0.8631 0.6373 0.6372
0.3627 0.1369 0.8628
0.1369 0.3627 0.3628
0.6373 0.8631 0.1372
0.8926 0.8803 0.6615
0.1197 0.1074 0.8385
0.1074 0.1197 0.3385
0.8803 0.8926 0.1615
0.2089 0.7500 0.9057
0.2500 0.7911 0.5943
0.7911 0.2500 0.0943
0.7500 0.2089 0.4057
0.4795 0.4762 0.0961
0.5238 0.5205 0.4039
0.5205 0.5238 0.9039
0.4762 0.4795 0.5961
0.8120 0.4417 0.5961
0.5583 0.1880 0.9039
0.1880 0.5583 0.4039
0.4417 0.8120 0.0961
0.9688 0.0836 0.5457
0.9164 0.0312 0.9543
0.0312 0.9164 0.4543
0.0836 0.9688 0.0457
0.7747 0.3843 0.8212
0.6157 0.2253 0.6788
0.2253 0.6157 0.1788
0.3843 0.7747 0.3212
0.8014 0.2885 0.9194
0.7115 0.1986 0.5806
0.1986 0.7115 0.0806
0.2885 0.8014 0.4194
0.1017 0.3923 0.5693
0.6077 0.8983 0.9307
0.8983 0.6077 0.4307
0.3923 0.1017 0.0693
0.1376 0.3080 0.6674
0.6920 0.8624 0.8326
0.8624 0.6920 0.3326
0.3080 0.1376 0.1674
0.0925 0.6366 0.7508
0.3634 0.9075 0.7492
0.9075 0.3634 0.2492
0.6366 0.0925 0.2508
0.1264 0.5316 0.6793
0.4684 0.8736 0.8207
0.8736 0.4684 0.3207
0.5316 0.1264 0.1793
0.1154 0.7018 0.9707
0.2982 0.8846 0.5293
0.8846 0.2982 0.0293
0.7018 0.1154 0.4707
0.8474 0.6122 0.0353
0.3878 0.1526 0.4647
0.1526 0.3878 0.9647
0.6122 0.8474 0.5353
0.5818 0.5059 0.1075
0.4941 0.4182 0.3925
0.4182 0.4941 0.8925
0.5059 0.5818 0.6075
0.9709 0.6806 0.8472
0.3194 0.0291 0.6528
0.0291 0.3194 0.1528
0.6806 0.9709 0.3472
0.6938 0.5820 0.9172
0.4180 0.3062 0.5828
0.3062 0.4180 0.0828
0.5820 0.6938 0.4172
0.8141 0.5699 0.7456
0.4301 0.1859 0.7544
0.1859 0.4301 0.2544
0.5699 0.8141 0.2456
0.8336 0.8111 0.7695
0.1889 0.1664 0.7305
0.1664 0.1889 0.2305
0.8111 0.8336 0.2695
0.8614 0.5566 0.5665
0.4434 0.1386 0.9335
0.1386 0.4434 0.4335
0.5566 0.8614 0.0665
0.9184 0.7969 0.5933
0.2031 0.0816 0.9067
0.0816 0.2031 0.4067
0.7969 0.9184 0.0933
0.9215 0.0305 0.6232
0.9695 0.0785 0.8768
0.0785 0.9695 0.3768
0.0305 0.9215 0.1232
0.7491 0.2787 0.8644
0.7213 0.2509 0.6356
0.2509 0.7213 0.1356
0.2787 0.7491 0.3644
0.0831 0.3707 0.6476
0.6293 0.9169 0.8524
0.9169 0.6293 0.3524
0.3707 0.0831 0.1476
0.1710 0.6307 0.6950
0.3693 0.8290 0.8050
0.8290 0.3693 0.3050
0.6307 0.1710 0.1950

[12]
NpTl3Ag2O6, relaxed, DFT PBE-GGA; crystal system = monoclinic; total magnetization = 0.000 μB per formula unit; formation energy (no corrections) = -1221 meV/atom; energy = -5.8453 eV/atom
1.0
6.5116 -0.1667 0.3357
-3.3986 5.5568 0.3357
-0.6793 -1.1761 6.0476
Np Tl Ag O
1 3 2 6
Direct
0.0000 0.0000 0.0000
0.1771 0.8229 0.5000
0.8229 0.1771 0.5000
0.5000 0.5000 0.5000
0.3585 0.6415 0.0000
0.6415 0.3585 0.0000
0.9218 0.6702 0.8589
0.8561 0.8561 0.2815
0.0782 0.3298 0.1411
0.6702 0.9218 0.8589
0.1439 0.1439 0.7185
0.3298 0.0782 0.1411

[13]
Pm4Cu3Pd, relaxed, DFT PBE-GGA; crystal system = orthorhombic; N(E_F) = 5.98 states/eV/cell; total magnetization = 0.000 μB per formula unit; energy = -4.9144 eV/atom
1.0
3.8953 0.0000 0.0000
0.0000 4.5401 0.0000
0.0000 0.0000 10.6908
Pm Cu Pd
4 3 1
Direct
0.5000 0.5000 0.3610
0.0000 0.5000 0.8592
0.0000 0.0000 0.1395
0.5000 0.0000 0.6402
0.0000 0.5000 0.5676
0.0000 0.0000 0.4315
0.5000 0.0000 0.9260
0.5000 0.5000 0.0751

[14]
BaCaGe3, relaxed, DFT PBE-GGA; crystal system = cubic; N(E_F) = 7.25 states/eV/cell; total magnetization = 0.000 μB per formula unit; energy = -2.7658 eV/atom
1.0
-3.1785 -4.4082 1.7763
1.9591 -3.1622 -4.3420
4.3301 -1.8052 3.2684
Ge Ca Ba
3 1 1
Direct
0.0000 0.5000 0.0000
0.0000 0.0000 0.5000
0.5000 0.0000 0.0000
0.5000 0.5000 0.5000
0.0000 0.0000 0.0000

[15]
TlCr3S5, relaxed, DFT PBE-GGA; crystal system = monoclinic; N(E_F) = 0.70 states/eV/cell; total magnetization = 9.021 μB per formula unit; formation energy (no corrections) = -668 meV/atom; energy = -6.4321 eV/atom
1.0
9.9183 0.0004 0.0290
9.2965 3.4566 0.0290
6.3713 1.1463 10.2334
Cr Tl S
6 2 10
Direct
0.5000 0.5000 0.0000
0.5000 0.5000 0.5000
0.1635 0.1635 0.6114
0.8365 0.8365 0.3886
0.9818 0.9818 0.7742
0.0182 0.0182 0.2258
0.2618 0.2618 0.8201
0.7382 0.7382 0.1799
0.0747 0.0747 0.8481
0.9253 0.9253 0.1519
0.4091 0.4091 0.9198
0.5909 0.5909 0.0802
0.5752 0.5752 0.6076
0.4248 0.4248 0.3924
0.7433 0.7433 0.6178
0.2567 0.2567 0.3822
0.9196 0.9196 0.6520
0.0804 0.0804 0.3480

[16]
CeTi2ReC4, relaxed, DFT PBE-GGA; crystal system = orthorhombic; N(E_F) = 7.47 states/eV/cell; total magnetization = 0.000 μB per formula unit; energy = -9.1477 eV/atom
1.0
3.2254 0.0000 0.0000
-1.6127 5.7458 0.0000
0.0000 0.0000 10.9984
Ce Ti Re C
2 4 2 8
Direct
0.0987 0.1974 0.7500
0.9013 0.8026 0.2500
0.3744 0.7487 0.5374
0.6256 0.2513 0.0374
0.6256 0.2513 0.4626
0.3744 0.7487 0.9626
0.8352 0.6704 0.7500
0.1648 0.3296 0.2500
0.2635 0.5269 0.1092
0.7365 0.4731 0.6092
0.7365 0.4731 0.8908
0.2635 0.5269 0.3908
0.0000 0.0000 0.5000
0.0000 0.0000 0.0000
0.4379 0.8758 0.7500
0.5621 0.1242 0.2500

[17]
Be2OsRu, relaxed, DFT PBE-GGA; crystal system = monoclinic; N(E_F) = 2.65 states/eV/cell; total magnetization = 0.001 μB per formula unit; energy = -6.9554 eV/atom
1.0
3.7348 0.0000 0.0000
0.0000 2.6212 -0.0123
0.0000 0.4859 4.7828
Ru Os Be
1 1 2
Direct
0.5000 0.7500 0.7500
0.5000 0.2500 0.2500
0.0000 0.0050 0.9957
0.0000 0.4950 0.5043

[18]
Mn2CoBr, relaxed, DFT PBE-GGA; crystal system = orthorhombic; N(E_F) = 2.87 states/eV/cell; total magnetization = 8.782 μB per formula unit; formation energy (no corrections) = 578 meV/atom; energy = -6.2014 eV/atom
1.0
4.5201 0.0077 0.0000
-1.1820 4.3629 0.0000
0.0000 0.0000 3.0403
Br Co Mn
1 1 2
Direct
0.5000 0.0000 0.5000
0.0000 0.5000 0.5000
0.0000 0.0000 0.0000
0.5000 0.5000 0.0000

[19]
SrAl2W, relaxed, DFT PBE-GGA; crystal system = tetragonal; N(E_F) = 3.59 states/eV/cell; total magnetization = 0.196 μB per formula unit; energy = -4.9927 eV/atom
1.0
-1.1454 3.4365 3.5483
2.0146 -2.0249 4.1896
2.2904 0.8080 -4.4512
Sr Al W
1 2 1
Direct
0.7500 0.2500 0.5000
0.0002 0.0002 0.0000
0.4998 0.4998 0.0000
0.2500 0.7500 0.5000

[20]
UPa2Au, relaxed, DFT PBE-GGA; crystal system = cubic; N(E_F) = 9.87 states/eV/cell; total magnetization = 2.677 μB per formula unit; energy = -8.3413 eV/atom
1.0
5.0180 0.0000 0.0000
2.5090 4.3457 0.0000
2.5090 1.4486 4.0972
Au Pa U
1 2 1
Direct
0.5000 0.5000 0.5000
0.2500 0.2500 0.2500
0.7500 0.7500 0.7500
0.0000 0.0000 0.0000